Entry 1:
An optimized crystal structure of Tb2Pm3Te5, computed with GGA-PBE.

Its formation energy (no corrections) is -1.3717 eV/atom.

Cell lengths 4.425, 7.691, 9.885 Å; angles 97.59, 77.07, 73.28 degrees
Sites, in units of the cell vectors:
Pm (0.500, 0.500, 0.500)
Pm (0.099, 0.106, 0.696)
Pm (0.901, 0.894, 0.304)
Te (0.391, 0.410, 0.808)
Te (0.203, 0.199, 0.394)
Te (0.000, 0.000, 0.000)
Te (0.609, 0.590, 0.192)
Te (0.797, 0.801, 0.606)
Tb (0.303, 0.294, 0.099)
Tb (0.697, 0.706, 0.901)

---

Entry 2:
An optimized crystal structure of KSb, computed with GGA-PBE.

Its formation energy (no corrections) is -0.1438 eV/atom.

Cell lengths 7.115, 7.115, 6.576 Å; angles 90.00, 90.00, 155.22 degrees
Sites, in units of the cell vectors:
K (0.639, 0.361, 0.750)
K (0.361, 0.639, 0.250)
Sb (0.100, 0.900, 0.250)
Sb (0.900, 0.100, 0.750)

---

So what do the calculations give for density of states at the Fermi level? Going down the list: 0.4631; 0.3720 states/eV/atom.